(1)
## Hf2AgSnSe (PBE)

Data for a relaxed Hf2AgSnSe crystal.

Cell: 5.367 4.968 5.367 Å, 90.00 90.00 90.00°
Positions (direct):
1 Hf 0.500 0.000 0.000
2 Hf 0.000 0.000 0.500
3 Ag 0.000 0.500 0.000
4 Sn 0.000 0.000 0.000
5 Se 0.500 0.500 0.500

Calculated values
**Uncorrected energy**: -5.123 eV/atom
**M_tot**: 1.29 Bohr magnetons per cell

(2)
## Hf2BeAs (PBE)

Data for a relaxed Hf2BeAs crystal.

Cell: 3.629 3.629 6.688 Å, 74.26 74.26 60.00°
Positions (direct):
1 As 0.500 0.500 0.500
2 Be 0.000 0.000 0.000
3 Hf 0.746 0.746 0.763
4 Hf 0.254 0.254 0.237

Calculated values
**Energy relative to the elements**: -0.432 eV per atom
**M_tot**: 0.00 Bohr magnetons per cell
**Excess energy over the best structure of this formula in the dataset**: 268 meV/atom

(3)
## BaSc2Rh (PBE)

Data for a relaxed BaSc2Rh crystal.

Cell: 4.086 4.086 8.683 Å, 76.39 76.39 59.93°
Positions (direct):
1 Sc 0.954 0.954 0.139
2 Sc 0.713 0.713 0.860
3 Rh 0.332 0.332 0.003
4 Ba 0.501 0.501 0.498

Calculated values
**Energy relative to the elements**: -0.286 eV per atom
**M_tot**: 0.00 Bohr magnetons per cell